A relaxed KNiCl crystal. Source: Alexandria via LeMat-Bulk, functional PBEsol.

Calculated values
Formation energy from raw total energies   0.5073 eV per atom
Fermi-level density of states   6.9 states/eV per cell

Lattice parameters (Å, degrees): 5.021 5.021 5.021 60.00 60.00 60.00
Positions (direct):
Ni1 0.000 0.000 0.000
Cl1 0.500 0.500 0.500
K1 0.250 0.250 0.250

A relaxed BeAs2O crystal. Source: Alexandria via LeMat-Bulk, functional PBEsol.

Calculated values
Formation energy from raw total energies   0.3745 eV per atom
Fermi-level density of states   2.4 states/eV per cell

Lattice parameters (Å, degrees): 4.130 4.130 4.130 60.00 60.00 60.00
Positions (direct):
O1 0.500 0.500 0.500
As1 0.750 0.750 0.750
As2 0.250 0.250 0.250
Be1 0.000 0.000 0.000

A relaxed Co3AgW crystal. Source: Alexandria via LeMat-Bulk, functional PBEsol.

Calculated values
Formation enthalpy at 0 K   2325 meV per atom
Fermi-level density of states   11.6 states/eV per cell

Lattice parameters (Å, degrees): 4.371 4.371 4.371 90.00 90.00 90.00
Positions (direct):
Ag1 0.000 0.000 0.000
W1 0.500 0.500 0.500
Co1 0.500 0.000 0.000
Co2 0.000 0.500 0.000
Co3 0.000 0.000 0.500

A relaxed Be2SiRu2 crystal. Source: Alexandria via LeMat-Bulk, functional PBEsol.

Calculated values
Formation energy from raw total energies   -0.4450 eV per atom
Fermi-level density of states   3.5 states/eV per cell

Lattice parameters (Å, degrees): 2.905 5.993 5.993 90.00 90.00 90.00
Positions (direct):
Be1 0.000 0.120 0.380
Be2 0.000 0.620 0.120
Be3 0.000 0.880 0.620
Be4 0.000 0.380 0.880
Ru1 0.500 0.822 0.322
Ru2 0.500 0.178 0.678
Ru3 0.500 0.678 0.822
Ru4 0.500 0.322 0.178
Si1 0.000 0.000 0.000
Si2 0.000 0.500 0.500

A relaxed FeRu2 crystal. Source: Alexandria via LeMat-Bulk, functional PBEsol.

Calculated values
Formation enthalpy at 0 K   71 meV per atom
Fermi-level density of states   6.1 states/eV per cell

Lattice parameters (Å, degrees): 2.632 4.875 6.105 102.69 90.00 105.66
Positions (direct):
Ru1 0.335 0.669 0.669
Ru2 0.718 0.435 0.952
Ru3 0.390 0.780 0.273
Ru4 0.058 0.117 0.607
Fe1 0.666 0.332 0.331
Fe2 0.000 0.000 0.001

A relaxed Tl2CuPtAu crystal. Source: Alexandria via LeMat-Bulk, functional PBEsol.

Calculated values
Formation enthalpy at 0 K   716 meV per atom
Fermi-level density of states   2.6 states/eV per cell

Lattice parameters (Å, degrees): 4.713 4.862 4.862 90.00 90.00 90.00
Positions (direct):
Tl1 0.000 0.500 0.000
Tl2 0.000 0.000 0.500
Cu1 0.000 0.000 0.000
Pt1 0.500 0.500 0.500
Au1 0.500 0.000 0.000

A relaxed CoCuNi2 crystal. Source: Alexandria via LeMat-Bulk, functional PBEsol.

Calculated values
Formation enthalpy at 0 K   36 meV per atom
Fermi-level density of states   4.2 states/eV per cell

Lattice parameters (Å, degrees): 2.456 2.456 8.211 81.40 81.40 60.00
Positions (direct):
Co1 0.498 0.498 0.506
Ni1 0.001 0.001 0.996
Ni2 0.751 0.751 0.748
Cu1 0.250 0.250 0.249

A relaxed NiAgPO2 crystal. Source: Alexandria via LeMat-Bulk, functional PBEsol.

Calculated values
Formation energy from raw total energies   0.9342 eV per atom
Fermi-level density of states   4.6 states/eV per cell

Lattice parameters (Å, degrees): 3.795 3.795 5.019 90.00 90.00 90.00
Positions (direct):
O1 0.000 0.500 0.000
O2 0.500 0.000 0.000
P1 0.000 0.000 0.500
Ni1 0.500 0.500 0.500
Ag1 0.000 0.000 0.000

The lowest Fermi-level density of states belongs to which entry? BeAs2O

What is the Fermi-level density of states in the fifth record? 6.1 states/eV per cell

Among the records above, which one has the highest Fermi-level density of states? Co3AgW